Record 1
LiLuInPd | PBE | relaxed

Calculated values
* energy relative to the lowest polymorph listed for this composition: 0.0 meV per atom
* crystal system: cubic
* symmetry: F-43m

Lattice parameters (Å, degrees): 4.741 4.741 4.741 60.00 60.00 60.00
Fractional coordinates of all 4 atoms:
Li 0.000 0.000 0.000
Lu 0.750 0.750 0.750
In 0.250 0.250 0.250
Pd 0.500 0.500 0.500

=====

Record 2
LiLuInPd | PBE | relaxed

Calculated values
* energy relative to the lowest polymorph listed for this composition: 161.8 meV per atom
* crystal system: cubic
* symmetry: F-43m

Lattice parameters (Å, degrees): 4.827 4.827 4.827 60.00 60.00 60.00
Fractional coordinates of all 4 atoms:
Li 0.000 0.000 0.000
Lu 0.500 0.500 0.500
In 0.250 0.250 0.250
Pd 0.750 0.750 0.750

=====

Record 3
LiLuInPd | PBE | relaxed

Calculated values
* energy relative to the lowest polymorph listed for this composition: 210.1 meV per atom
* crystal system: cubic
* symmetry: F-43m

Lattice parameters (Å, degrees): 4.762 4.762 4.762 60.00 60.00 60.00
Fractional coordinates of all 4 atoms:
Li 0.000 0.000 0.000
Lu 0.250 0.250 0.250
In 0.500 0.500 0.500
Pd 0.750 0.750 0.750

=====

Record 4
LiMgNb2In2Os2 | PBE | relaxed

Calculated values
* calculated total energy: -6.52 eV/atom
* crystal system: tetragonal
* symmetry: P-4m2

Lattice parameters (Å, degrees): 4.547 4.547 6.472 90.00 90.00 90.00
Fractional coordinates of all 8 atoms:
Li 0.000 0.000 0.000
Mg 0.500 0.500 0.500
Nb 0.000 0.500 0.244
Nb 0.500 0.000 0.756
In 0.000 0.500 0.759
In 0.500 0.000 0.241
Os 0.000 0.000 0.500
Os 0.500 0.500 0.000

=====

Record 5
Li2Mg2In2NiPd | PBE | relaxed

Calculated values
* calculated total energy: -3.29 eV/atom
* crystal system: tetragonal
* symmetry: P-4m2

Lattice parameters (Å, degrees): 4.529 4.529 6.423 90.00 90.00 90.00
Fractional coordinates of all 8 atoms:
Li 0.000 0.000 0.000
Li 0.500 0.500 0.500
Mg 0.000 0.500 0.246
Mg 0.500 0.000 0.754
In 0.000 0.500 0.762
In 0.500 0.000 0.238
Ni 0.500 0.500 0.000
Pd 0.000 0.000 0.500

=====

Record 6
Li2Mg2In2NiPt | PBE | relaxed

Calculated values
* calculated total energy: -3.45 eV/atom
* crystal system: tetragonal
* symmetry: P-4m2

Lattice parameters (Å, degrees): 4.514 4.514 6.396 90.00 90.00 90.00
Fractional coordinates of all 8 atoms:
Li 0.000 0.000 0.000
Li 0.500 0.500 0.500
Mg 0.000 0.500 0.248
Mg 0.500 0.000 0.752
In 0.000 0.500 0.764
In 0.500 0.000 0.236
Ni 0.500 0.500 0.000
Pt 0.000 0.000 0.500

=====

Record 7
Li2Mg2InNi2Sn | PBE | relaxed

Calculated values
* calculated total energy: -3.41 eV/atom
* crystal system: tetragonal
* symmetry: P-4m2

Lattice parameters (Å, degrees): 4.449 4.449 6.283 90.00 90.00 90.00
Fractional coordinates of all 8 atoms:
Li 0.000 0.500 0.249
Li 0.500 0.000 0.751
Mg 0.000 0.000 0.500
Mg 0.500 0.500 0.000
In 0.000 0.000 0.000
Ni 0.000 0.500 0.744
Ni 0.500 0.000 0.256
Sn 0.500 0.500 0.500

=====

Record 8
Li2MgZnIn2Ni2 | PBE | relaxed

Calculated values
* calculated total energy: -3.16 eV/atom
* crystal system: tetragonal
* symmetry: P-4m2

Lattice parameters (Å, degrees): 4.395 4.395 6.238 90.00 90.00 90.00
Fractional coordinates of all 8 atoms:
Li 0.000 0.500 0.238
Li 0.500 0.000 0.762
Mg 0.500 0.500 0.500
Zn 0.000 0.000 0.000
In 0.000 0.000 0.500
In 0.500 0.500 0.000
Ni 0.000 0.500 0.759
Ni 0.500 0.000 0.241

=====

Record 9
Li2Mg2InPt2Pb | PBE | relaxed

Calculated values
* calculated total energy: -3.74 eV/atom
* crystal system: tetragonal
* symmetry: P-4m2

Lattice parameters (Å, degrees): 4.631 4.631 6.563 90.00 90.00 90.00
Fractional coordinates of all 8 atoms:
Li 0.000 0.500 0.242
Li 0.500 0.000 0.758
Mg 0.000 0.000 0.000
Mg 0.500 0.500 0.500
In 0.500 0.500 0.000
Pt 0.000 0.500 0.759
Pt 0.500 0.000 0.241
Pb 0.000 0.000 0.500

=====

Record 10
Li4MgInPd2 | PBE | relaxed

Calculated values
* calculated total energy: -3.23 eV/atom
* crystal system: tetragonal
* symmetry: P-4m2

Lattice parameters (Å, degrees): 4.484 4.484 6.298 90.00 90.00 90.00
Fractional coordinates of all 8 atoms:
Li 0.000 0.000 0.000
Li 0.000 0.500 0.743
Li 0.500 0.000 0.257
Li 0.500 0.500 0.500
Mg 0.000 0.000 0.500
In 0.500 0.500 0.000
Pd 0.000 0.500 0.256
Pd 0.500 0.000 0.744

=====

Record 11
Li4MgIn2Pd | PBE | relaxed

Calculated values
* calculated total energy: -2.83 eV/atom
* crystal system: tetragonal
* symmetry: P-4m2

Lattice parameters (Å, degrees): 4.581 4.581 6.700 90.00 90.00 90.00
Fractional coordinates of all 8 atoms:
Li 0.000 0.000 0.000
Li 0.000 0.500 0.224
Li 0.500 0.000 0.776
Li 0.500 0.500 0.500
Mg 0.000 0.000 0.500
In 0.000 0.500 0.770
In 0.500 0.000 0.230
Pd 0.500 0.500 0.000

=====

Record 12
Li2Mg2In2PdPt | PBE | relaxed

Calculated values
* calculated total energy: -3.54 eV/atom
* crystal system: tetragonal
* symmetry: P-4m2

Lattice parameters (Å, degrees): 4.595 4.595 6.492 90.00 90.00 90.00
Fractional coordinates of all 8 atoms:
Li 0.000 0.000 0.000
Li 0.500 0.500 0.500
Mg 0.000 0.500 0.249
Mg 0.500 0.000 0.751
In 0.000 0.500 0.749
In 0.500 0.000 0.251
Pd 0.000 0.000 0.500
Pt 0.500 0.500 0.000

=====

Record 13
Li2Mg2InSnPd2 | PBE | relaxed

Calculated values
* calculated total energy: -3.57 eV/atom
* crystal system: tetragonal
* symmetry: P-4m2

Lattice parameters (Å, degrees): 4.600 4.600 6.487 90.00 90.00 90.00
Fractional coordinates of all 8 atoms:
Li 0.000 0.500 0.250
Li 0.500 0.000 0.750
Mg 0.000 0.000 0.000
Mg 0.500 0.500 0.500
In 0.000 0.000 0.500
Sn 0.500 0.500 0.000
Pd 0.000 0.500 0.754
Pd 0.500 0.000 0.246

=====

Record 14
Li2MgZnIn2Pd2 | PBE | relaxed

Calculated values
* calculated total energy: -3.31 eV/atom
* crystal system: tetragonal
* symmetry: P-4m2

Lattice parameters (Å, degrees): 4.545 4.545 6.458 90.00 90.00 90.00
Fractional coordinates of all 8 atoms:
Li 0.000 0.500 0.235
Li 0.500 0.000 0.765
Mg 0.000 0.000 0.500
Zn 0.500 0.500 0.000
In 0.000 0.000 0.000
In 0.500 0.500 0.500
Pd 0.000 0.500 0.755
Pd 0.500 0.000 0.245

=====

Record 15
Li2Mg2ZnInPd2 | PBE | relaxed

Calculated values
* calculated total energy: -3.16 eV/atom
* crystal system: tetragonal
* symmetry: P-4m2

Lattice parameters (Å, degrees): 4.511 4.511 6.392 90.00 90.00 90.00
Fractional coordinates of all 8 atoms:
Li 0.000 0.500 0.233
Li 0.500 0.000 0.767
Mg 0.000 0.000 0.000
Mg 0.500 0.500 0.500
Zn 0.500 0.500 0.000
In 0.000 0.000 0.500
Pd 0.000 0.500 0.760
Pd 0.500 0.000 0.240

=====

Record 16
Li4MgInPt2 | PBE | relaxed

Calculated values
* calculated total energy: -3.56 eV/atom
* crystal system: tetragonal
* symmetry: P-4m2

Lattice parameters (Å, degrees): 4.460 4.460 6.268 90.00 90.00 90.00
Fractional coordinates of all 8 atoms:
Li 0.000 0.000 0.000
Li 0.000 0.500 0.742
Li 0.500 0.000 0.258
Li 0.500 0.500 0.500
Mg 0.000 0.000 0.500
In 0.500 0.500 0.000
Pt 0.000 0.500 0.256
Pt 0.500 0.000 0.744

=====

Record 17
Li4Mg2InPt | PBE | relaxed

Calculated values
* calculated total energy: -2.80 eV/atom
* crystal system: tetragonal
* symmetry: P-4m2

Lattice parameters (Å, degrees): 4.542 4.542 6.658 90.00 90.00 90.00
Fractional coordinates of all 8 atoms:
Li 0.000 0.000 0.000
Li 0.000 0.500 0.230
Li 0.500 0.000 0.770
Li 0.500 0.500 0.500
Mg 0.000 0.500 0.781
Mg 0.500 0.000 0.219
In 0.000 0.000 0.500
Pt 0.500 0.500 0.000

=====

Record 18
Li2MgScIn2Pt2 | PBE | relaxed

Calculated values
* calculated total energy: -4.37 eV/atom
* crystal system: tetragonal
* symmetry: P-4m2

Lattice parameters (Å, degrees): 4.614 4.614 6.538 90.00 90.00 90.00
Fractional coordinates of all 8 atoms:
Li 0.000 0.500 0.235
Li 0.500 0.000 0.765
Mg 0.500 0.500 0.000
Sc 0.000 0.000 0.500
In 0.000 0.000 0.000
In 0.500 0.500 0.500
Pt 0.000 0.500 0.747
Pt 0.500 0.000 0.253

=====

Record 19
Li2Mg2InSiPt2 | PBE | relaxed

Calculated values
* calculated total energy: -4.04 eV/atom
* crystal system: tetragonal
* symmetry: P-4m2

Lattice parameters (Å, degrees): 4.427 4.427 6.404 90.00 90.00 90.00
Fractional coordinates of all 8 atoms:
Li 0.000 0.500 0.230
Li 0.500 0.000 0.770
Mg 0.000 0.000 0.000
Mg 0.500 0.500 0.500
In 0.000 0.000 0.500
Si 0.500 0.500 0.000
Pt 0.000 0.500 0.780
Pt 0.500 0.000 0.220

=====

Record 20
Li2MgZnIn2Pt2 | PBE | relaxed

Calculated values
* calculated total energy: -3.61 eV/atom
* crystal system: tetragonal
* symmetry: P-4m2

Lattice parameters (Å, degrees): 4.537 4.537 6.426 90.00 90.00 90.00
Fractional coordinates of all 8 atoms:
Li 0.000 0.500 0.235
Li 0.500 0.000 0.765
Mg 0.500 0.500 0.500
Zn 0.000 0.000 0.000
In 0.000 0.000 0.500
In 0.500 0.500 0.000
Pt 0.000 0.500 0.755
Pt 0.500 0.000 0.245

=====

Record 21
Li2Mg2ZnInPt2 | PBE | relaxed

Calculated values
* calculated total energy: -3.49 eV/atom
* crystal system: tetragonal
* symmetry: P-4m2

Lattice parameters (Å, degrees): 4.491 4.491 6.383 90.00 90.00 90.00
Fractional coordinates of all 8 atoms:
Li 0.000 0.500 0.230
Li 0.500 0.000 0.770
Mg 0.000 0.000 0.000
Mg 0.500 0.500 0.500
Zn 0.500 0.500 0.000
In 0.000 0.000 0.500
Pt 0.000 0.500 0.760
Pt 0.500 0.000 0.240

=====

Record 22
Li2MgZn2InPt2 | PBE | relaxed

Calculated values
* calculated total energy: -3.41 eV/atom
* crystal system: tetragonal
* symmetry: P-4m2

Lattice parameters (Å, degrees): 4.445 4.445 6.299 90.00 90.00 90.00
Fractional coordinates of all 8 atoms:
Li 0.000 0.500 0.244
Li 0.500 0.000 0.756
Mg 0.000 0.000 0.000
Zn 0.000 0.000 0.500
Zn 0.500 0.500 0.000
In 0.500 0.500 0.500
Pt 0.000 0.500 0.755
Pt 0.500 0.000 0.245

=====

Record 23
Li4MgZnIn2 | PBE | relaxed

Calculated values
* calculated total energy: -2.24 eV/atom
* crystal system: tetragonal
* symmetry: P-4m2

Lattice parameters (Å, degrees): 4.609 4.609 6.693 90.00 90.00 90.00
Fractional coordinates of all 8 atoms:
Li 0.000 0.000 0.000
Li 0.000 0.500 0.227
Li 0.500 0.000 0.773
Li 0.500 0.500 0.500
Mg 0.000 0.000 0.500
Zn 0.500 0.500 0.000
In 0.000 0.500 0.763
In 0.500 0.000 0.237

=====

Record 24
LiInMoOs | PBE | relaxed

Calculated values
* energy relative to the lowest polymorph listed for this composition: 0.0 meV per atom
* crystal system: cubic
* symmetry: F-43m

Lattice parameters (Å, degrees): 4.436 4.436 4.436 60.00 60.00 60.00
Fractional coordinates of all 4 atoms:
Li 0.000 0.000 0.000
In 0.250 0.250 0.250
Mo 0.750 0.750 0.750
Os 0.500 0.500 0.500

=====

Record 25
LiNb2In | PBE | relaxed

Calculated values
* calculated total energy: -5.88 eV/atom
* crystal system: cubic
* symmetry: F-43m

Lattice parameters (Å, degrees): 4.706 4.706 4.706 60.00 60.00 60.00
Fractional coordinates of all 4 atoms:
Li 0.000 0.000 0.000
Nb 0.250 0.250 0.250
Nb 0.500 0.500 0.500
In 0.750 0.750 0.750

=====

Record 26
Li2NbIn | PBE | relaxed

Calculated values
* calculated total energy: -3.91 eV/atom
* crystal system: cubic
* symmetry: F-43m

Lattice parameters (Å, degrees): 4.641 4.641 4.641 60.00 60.00 60.00
Fractional coordinates of all 4 atoms:
Li 0.000 0.000 0.000
Li 0.250 0.250 0.250
Nb 0.750 0.750 0.750
In 0.500 0.500 0.500

=====

Going through the records in order, we get V values of 18.8; 19.9; 19.1; 16.7; 16.5; 16.3; 15.5; 15.1; 17.6; 15.8; 17.6; 17.1; 17.2; 16.7; 16.3; 15.6; 17.2; 17.4; 15.7; 16.5; 16.1; 15.6; 17.8; 15.4; 18.4; 17.7 Å³ per atom.